Record 1
# LaOs3S

A relaxed LaOs3S crystal (PBE, the Alexandria database).

a = 4.8941 Å, b = 4.8941 Å, c = 4.8941 Å
α = 90.00°, β = 90.00°, γ = 90.00°
With the nearest neighbours (Å) after each atom.
Fractional coordinates of all 5 atoms:
Os1 0.5000 0.0000 0.0000  2 La 2.45
Os2 0.0000 0.0000 0.5000  2 La 2.45
S1 0.5000 0.5000 0.5000  12 Os 3.46
Os3 0.0000 0.5000 0.0000  2 La 2.45
La1 0.0000 0.0000 0.0000  6 Os 2.45

Computed properties:
Energy above the most stable polymorph in this dataset (meV per atom): 2756.2
Final energy (eV/atom): -5.288
Spin magnetization (μB per formula unit): 0.000
Formation energy (no corrections) (meV per atom): 3261



Record 2
# Ce2NdDySe4

A relaxed Ce2NdDySe4 crystal (PBE, the Alexandria database).

a = 4.1579 Å, b = 7.2431 Å, c = 7.2536 Å
α = 70.81°, β = 90.00°, γ = 90.00°
With the nearest neighbours (Å) after each atom.
Fractional coordinates of all 8 atoms:
Se1 0.5000 0.2575 0.7410  2 Dy 2.91, 3 Ce 2.95-3.00, 1 Nd 2.96
Se2 0.0000 0.2526 0.2557  1 Dy 2.91, 3 Ce 2.95-3.00, 2 Nd 2.96
Dy1 0.0000 0.5000 0.5000  6 Se 2.91
Ce1 0.0000 0.0000 0.0000  6 Se 3.00
Ce2 0.5000 0.0000 0.5000  6 Se 2.95
Se3 0.0000 0.7474 0.7443  1 Dy 2.91, 3 Ce 2.95-3.00, 2 Nd 2.96
Se4 0.5000 0.7425 0.2590  2 Dy 2.91, 3 Ce 2.95-3.00, 1 Nd 2.96
Nd1 0.5000 0.5000 0.0000  6 Se 2.96

Computed properties:
Final energy (eV/atom): -6.206
Spin magnetization (μB per formula unit): 0.139
Formation energy (no corrections) (meV per atom): -1809



Record 3
# Pm4Ho5Er2

A relaxed Pm4Ho5Er2 crystal (PBE, the Alexandria database).

a = 3.5057 Å, b = 8.3375 Å, c = 20.7736 Å
α = 142.92°, β = 94.84°, γ = 90.00°
With the nearest neighbours (Å) after each atom.
Fractional coordinates of all 11 atoms:
Pm1 0.3637 0.5543 0.7274  6 Ho 3.48-3.57, 2 Er 3.50, 4 Pm 3.51-3.64
Pm2 0.0903 0.6198 0.1806  4 Ho 3.42-3.60, 2 Er 3.47, 4 Pm 3.51-3.64
Ho1 0.7754 0.9393 0.5508  4 Pm 3.42-3.57, 7 Ho 3.45-3.55
Ho2 0.8091 0.6683 0.6183  7 Ho 3.48-3.59, 3 Pm 3.54-3.60, 1 Er 3.64
Pm3 0.6363 0.4457 0.2726  6 Ho 3.48-3.57, 2 Er 3.50, 4 Pm 3.51-3.64
Er1 0.9530 0.1563 0.9059  4 Pm 3.47-3.50, 3 Er 3.50-3.51, 3 Ho 3.55-3.64
Ho3 0.5000 0.0000 0.0000  6 Pm 3.48-3.58, 2 Ho 3.51, 4 Er 3.55
Er2 0.0470 0.8437 0.0941  4 Pm 3.47-3.50, 3 Er 3.50-3.51, 3 Ho 3.55-3.64
Ho4 0.1909 0.3317 0.3817  7 Ho 3.48-3.59, 3 Pm 3.54-3.60, 1 Er 3.64
Ho5 0.2246 0.0607 0.4492  4 Pm 3.42-3.57, 7 Ho 3.45-3.55
Pm4 0.9097 0.3802 0.8194  4 Ho 3.42-3.60, 2 Er 3.47, 4 Pm 3.51-3.64

Computed properties:
Energy above the most stable polymorph in this dataset (meV per atom): 30.2
Final energy (eV/atom): -4.499
Spin magnetization (μB per formula unit): 0.000



Record 4
# Sc5Hg4Au

A relaxed Sc5Hg4Au crystal (PBE, the Alexandria database).

a = 3.4999 Å, b = 3.4999 Å, c = 17.4791 Å
α = 90.00°, β = 90.00°, γ = 90.00°
With the nearest neighbours (Å) after each atom.
Fractional coordinates of all 10 atoms:
Sc1 0.5000 0.5000 0.5000  8 Hg 3.05
Hg1 0.0000 0.0000 0.8031  8 Sc 3.03-3.06
Sc2 0.5000 0.5000 0.7034  8 Hg 3.03-3.05
Hg2 0.0000 0.0000 0.6017  8 Sc 3.05
Sc3 0.5000 0.5000 0.9065  4 Au 2.97, 4 Hg 3.06, 1 Sc 3.27
Hg3 0.0000 0.0000 0.1969  8 Sc 3.03-3.06
Hg4 0.0000 0.0000 0.3983  8 Sc 3.05
Au1 0.0000 0.0000 0.0000  8 Sc 2.97
Sc4 0.5000 0.5000 0.0935  4 Au 2.97, 4 Hg 3.06, 1 Sc 3.27
Sc5 0.5000 0.5000 0.2966  8 Hg 3.03-3.05

Computed properties:
Final energy (eV/atom): -4.117
Spin magnetization (μB per formula unit): 0.000



Record 5
# CaAg2PO4

A relaxed CaAg2PO4 crystal (PBE, the Alexandria database).

a = 4.7399 Å, b = 4.7399 Å, c = 6.5835 Å
α = 110.85°, β = 110.85°, γ = 90.64°
With the nearest neighbours (Å) after each atom.
Fractional coordinates of all 8 atoms:
Ca1 0.0034 0.0034 0.0067  4 O 2.26-2.27
P1 0.4991 0.4991 0.9981  4 O 1.56
Ag1 0.2508 0.7508 0.5015  4 O 2.58-2.60
Ag2 0.7508 0.2508 0.5015  4 O 2.58-2.60
O1 0.2282 0.2282 0.8391  1 P 1.56
O2 0.3898 0.7674 0.1572  1 P 1.56
O3 0.6109 0.6109 0.8391  1 P 1.56
O4 0.7674 0.3898 0.1572  1 P 1.56

Computed properties:
Final energy (eV/atom): -5.751
Spin magnetization (μB per formula unit): 0.000
Formation energy (no corrections) (meV per atom): -1632



Record 6
# LuTcOsW

A relaxed LuTcOsW crystal (PBE, the Alexandria database).

a = 4.5444 Å, b = 4.5444 Å, c = 4.5444 Å
α = 60.00°, β = 60.00°, γ = 60.00°
With the nearest neighbours (Å) after each atom.
Fractional coordinates of all 4 atoms:
Os1 0.7500 0.7500 0.7500  4 W 2.78, 4 Lu 2.78
W1 0.0000 0.0000 0.0000  4 Tc 2.78, 4 Os 2.78
Lu1 0.5000 0.5000 0.5000  4 Os 2.78, 4 Tc 2.78
Tc1 0.2500 0.2500 0.2500  4 Lu 2.78, 4 W 2.78

Computed properties:
Final energy (eV/atom): -9.890
Spin magnetization (μB per formula unit): 0.000



Record 7
# KScPt2

A relaxed KScPt2 crystal (PBE, the Alexandria database).

a = 3.9644 Å, b = 3.9644 Å, c = 8.2852 Å
α = 84.47°, β = 84.47°, γ = 44.33°
With the nearest neighbours (Å) after each atom.
Fractional coordinates of all 4 atoms:
K1 0.2500 0.2500 0.2500  2 K 2.99, 2 Pt 3.21
Pt1 0.0129 0.0129 0.9462  3 Sc 2.65-2.71
Sc1 0.7500 0.7500 0.7500  6 Pt 2.65-2.71
Pt2 0.4871 0.4871 0.5538  3 Sc 2.65-2.71

Computed properties:
Final energy (eV/atom): -5.355
Spin magnetization (μB per formula unit): 0.000



Record 8
# CsSrBi

A relaxed CsSrBi crystal (PBE, the Alexandria database).

a = 14.9826 Å, b = 8.5558 Å, c = 4.8542 Å
α = 90.00°, β = 90.00°, γ = 90.00°
With the nearest neighbours (Å) after each atom.
Fractional coordinates of all 12 atoms:
Sr1 0.5000 0.0000 0.5000  4 Bi 3.43
Cs1 0.2181 0.2500 0.5000  2 Bi 3.91
Bi1 0.0770 0.7500 0.5000  4 Sr 3.43
Sr2 0.0000 0.5000 0.0000  4 Bi 3.43
Cs2 0.7819 0.7500 0.5000  2 Bi 3.91
Sr3 0.5000 0.5000 0.5000  4 Bi 3.43
Bi2 0.9230 0.2500 0.5000  4 Sr 3.43
Cs3 0.2819 0.7500 0.0000  2 Bi 3.91
Sr4 0.0000 0.0000 0.0000  4 Bi 3.43
Bi3 0.4230 0.2500 0.0000  4 Sr 3.43
Bi4 0.5770 0.7500 0.0000  4 Sr 3.43
Cs4 0.7181 0.2500 0.0000  2 Bi 3.91

Computed properties:
Final energy (eV/atom): -2.701
Spin magnetization (μB per formula unit): 0.000



Record 9
# K3Pm2TcO6

A relaxed K3Pm2TcO6 crystal (PBE, the Alexandria database).

a = 5.9506 Å, b = 5.9506 Å, c = 6.5609 Å
α = 98.62°, β = 98.62°, γ = 119.10°
With the nearest neighbours (Å) after each atom.
Fractional coordinates of all 12 atoms:
K1 0.1604 0.8396 0.5000  6 O 2.73-2.87
O1 0.3848 0.0694 0.1953  1 Tc 2.26, 2 Pm 2.35-2.37
K2 0.5000 0.5000 0.5000  6 O 2.72-2.98
O2 0.2394 0.2394 0.8221  1 Tc 2.11
Tc1 0.0000 0.0000 0.0000  6 O 2.11-2.26
O3 0.6152 0.9306 0.8047  1 Tc 2.26, 2 Pm 2.35-2.37
O4 0.0694 0.3848 0.1953  1 Tc 2.26, 2 Pm 2.35-2.37
Pm1 0.6722 0.3278 0.0000  6 O 2.35-2.42
K3 0.8396 0.1604 0.5000  6 O 2.73-2.87
O5 0.7606 0.7606 0.1779  1 Tc 2.11
O6 0.9306 0.6152 0.8047  1 Tc 2.26, 2 Pm 2.35-2.37
Pm2 0.3278 0.6722 0.0000  6 O 2.35-2.42

Computed properties:
Final energy (eV/atom): -6.497
Spin magnetization (μB per formula unit): 2.000
Formation energy (no corrections) (meV per atom): -2088



Record 10
# TiMnCoPt2

A relaxed TiMnCoPt2 crystal (PBE, the Alexandria database).

a = 4.6863 Å, b = 4.1442 Å, c = 4.6863 Å
α = 90.00°, β = 90.00°, γ = 90.00°
With the nearest neighbours (Å) after each atom.
Fractional coordinates of all 5 atoms:
Co1 0.5000 0.5000 0.5000  8 Pt 3.13, 4 Mn 3.31
Pt1 0.0000 0.0000 0.5000  2 Ti 2.34
Ti1 0.0000 0.0000 0.0000  2 Mn 2.07
Pt2 0.5000 0.0000 0.0000  2 Ti 2.34
Mn1 0.0000 0.5000 0.0000  2 Ti 2.07

Computed properties:
Final energy (eV/atom): -6.135
Spin magnetization (μB per formula unit): 2.580



Record 11
# CaBRuO5

A relaxed CaBRuO5 crystal (PBE, the Alexandria database).

a = 5.2822 Å, b = 5.2822 Å, c = 7.0321 Å
α = 104.57°, β = 104.57°, γ = 105.99°
With the nearest neighbours (Å) after each atom.
Fractional coordinates of all 16 atoms:
O1 0.8844 0.3206 0.1300  1 B 1.49
Ru1 0.0000 0.0000 0.0000  6 O 1.85-2.04
B1 0.3111 0.6889 0.7500  4 O 1.49-1.51
Ca1 0.6591 0.3409 0.7500  5 O 2.31-2.36
B2 0.6889 0.3111 0.2500  4 O 1.49-1.51
Ru2 0.0000 0.0000 0.5000  6 O 1.85-2.04
Ca2 0.3409 0.6591 0.2500  5 O 2.31-2.36
O2 0.1156 0.6794 0.8700  1 B 1.49
O3 0.3206 0.8844 0.6300  1 B 1.49
O4 0.0669 0.9331 0.2500  2 Ru 1.85
O5 0.6794 0.1156 0.3700  1 B 1.49
O6 0.5957 0.7495 0.9055  1 B 1.51
O7 0.2505 0.4043 0.5945  1 B 1.51
O8 0.9331 0.0669 0.7500  2 Ru 1.85
O9 0.4043 0.2505 0.0945  1 B 1.51
O10 0.7495 0.5957 0.4055  1 B 1.51

Computed properties:
Final energy (eV/atom): -7.249
Spin magnetization (μB per formula unit): 0.008
Formation energy (no corrections) (meV per atom): -1906



Please write out number 11 again, unchanged.
# CaBRuO5

A relaxed CaBRuO5 crystal (PBE, the Alexandria database).

a = 5.2822 Å, b = 5.2822 Å, c = 7.0321 Å
α = 104.57°, β = 104.57°, γ = 105.99°
With the nearest neighbours (Å) after each atom.
Fractional coordinates of all 16 atoms:
O1 0.8844 0.3206 0.1300  1 B 1.49
Ru1 0.0000 0.0000 0.0000  6 O 1.85-2.04
B1 0.3111 0.6889 0.7500  4 O 1.49-1.51
Ca1 0.6591 0.3409 0.7500  5 O 2.31-2.36
B2 0.6889 0.3111 0.2500  4 O 1.49-1.51
Ru2 0.0000 0.0000 0.5000  6 O 1.85-2.04
Ca2 0.3409 0.6591 0.2500  5 O 2.31-2.36
O2 0.1156 0.6794 0.8700  1 B 1.49
O3 0.3206 0.8844 0.6300  1 B 1.49
O4 0.0669 0.9331 0.2500  2 Ru 1.85
O5 0.6794 0.1156 0.3700  1 B 1.49
O6 0.5957 0.7495 0.9055  1 B 1.51
O7 0.2505 0.4043 0.5945  1 B 1.51
O8 0.9331 0.0669 0.7500  2 Ru 1.85
O9 0.4043 0.2505 0.0945  1 B 1.51
O10 0.7495 0.5957 0.4055  1 B 1.51

Computed properties:
Final energy (eV/atom): -7.249
Spin magnetization (μB per formula unit): 0.008
Formation energy (no corrections) (meV per atom): -1906



Which of these has the highest final energy? CsSrBi



Look up the spin magnetization of the eighth one. 0.000 μB per formula unit



Which of these has the highest final energy? CsSrBi